<i>
A relaxed structure of Ba2CdPd3. Source: Alexandria, functional GGA-PBE.

Lattice parameters (Å, degrees): 6.978 6.978 6.978 138.95 130.25 66.40
Fractional positions:
Ba 0.179 0.179 0.000
Ba 0.821 0.821 0.000
Cd 0.500 0.500 0.000
Pd 0.000 0.500 0.500
Pd 0.384 0.884 0.500
Pd 0.616 0.116 0.500

Computed properties:
Total magnetic moment ... 0.00 μB/f.u.
Density of states at the Fermi level ... 2.4 states/eV per cell
Volume ... 27.96 Å³/atom

---

<ii>
A relaxed structure of Ba2CdPd3. Source: Alexandria, functional GGA-PBE.

Lattice parameters (Å, degrees): 9.347 9.238 6.498 70.44 68.64 40.93
Fractional positions:
Ba 0.241 0.759 0.759
Ba 0.250 0.250 0.250
Ba 0.750 0.750 0.750
Ba 0.759 0.241 0.241
Cd 0.335 0.335 0.665
Cd 0.665 0.665 0.335
Pd 0.165 0.668 0.332
Pd 0.167 0.167 0.833
Pd 0.332 0.835 0.165
Pd 0.668 0.165 0.835
Pd 0.833 0.833 0.167
Pd 0.835 0.332 0.668

Computed properties:
Total magnetic moment ... 0.00 μB/f.u.
Density of states at the Fermi level ... 4.9 states/eV per cell
Volume ... 28.39 Å³/atom

---

Which structure is most stable, and how do the rest compare? From most to least stable: <ii>, <i>.

---

<i>
A relaxed structure of Ba8Cd2Pd. Source: Alexandria, functional GGA-PBE.

Lattice parameters (Å, degrees): 12.540 12.540 9.729 90.69 90.69 21.77
Fractional positions:
Ba 0.008 0.008 0.217
Ba 0.237 0.237 0.698
Ba 0.370 0.370 0.002
Ba 0.397 0.397 0.485
Ba 0.603 0.603 0.515
Ba 0.630 0.630 0.998
Ba 0.763 0.763 0.302
Ba 0.992 0.992 0.783
Cd 0.157 0.157 0.278
Cd 0.843 0.843 0.722
Pd 0.500 0.500 0.000

Computed properties:
Total magnetic moment ... 0.00 μB/f.u.
Density of states at the Fermi level ... 12.3 states/eV per cell
Volume ... 51.58 Å³/atom

---

<ii>
A relaxed structure of Ba8Cd2Pd. Source: Alexandria, functional GGA-PBE.

Lattice parameters (Å, degrees): 11.116 11.116 8.102 105.09 105.09 31.45
Fractional positions:
Ba 0.029 0.029 0.301
Ba 0.212 0.212 0.811
Ba 0.347 0.347 0.535
Ba 0.410 0.410 0.083
Ba 0.590 0.590 0.917
Ba 0.653 0.653 0.465
Ba 0.788 0.788 0.189
Ba 0.971 0.971 0.699
Cd 0.186 0.186 0.225
Cd 0.814 0.814 0.775
Pd 0.500 0.500 0.500

Computed properties:
Total magnetic moment ... 0.00 μB/f.u.
Density of states at the Fermi level ... 14.8 states/eV per cell
Volume ... 45.71 Å³/atom

---

Which structure is most stable, and how do the rest compare? From most to least stable: <i>, <ii>.

---

<i>
A relaxed structure of Ba2Cd5Pd4. Source: Alexandria, functional GGA-PBE.

Lattice parameters (Å, degrees): 10.076 9.076 6.127 80.48 62.67 36.85
Fractional positions:
Ba 0.143 0.143 0.857
Ba 0.857 0.857 0.143
Cd 0.000 0.000 0.500
Cd 0.250 0.250 0.250
Cd 0.500 0.500 0.000
Cd 0.500 0.500 0.500
Cd 0.750 0.750 0.750
Pd 0.217 0.528 0.472
Pd 0.472 0.783 0.217
Pd 0.528 0.217 0.783
Pd 0.783 0.472 0.528

Computed properties:
Total magnetic moment ... 0.00 μB/f.u.
Density of states at the Fermi level ... 3.5 states/eV per cell
Volume ... 25.12 Å³/atom

---

<ii>
A relaxed structure of Ba2Cd5Pd4. Source: Alexandria, functional GGA-PBE.

Lattice parameters (Å, degrees): 7.502 7.502 8.616 123.03 123.03 47.69
Fractional positions:
Ba 0.227 0.227 0.294
Ba 0.773 0.773 0.706
Cd 0.195 0.704 0.247
Cd 0.296 0.805 0.753
Cd 0.500 0.500 0.000
Cd 0.704 0.195 0.247
Cd 0.805 0.296 0.753
Pd 0.125 0.125 0.557
Pd 0.276 0.276 0.946
Pd 0.724 0.724 0.054
Pd 0.875 0.875 0.443

Computed properties:
Total magnetic moment ... 0.00 μB/f.u.
Density of states at the Fermi level ... 5.3 states/eV per cell
Volume ... 26.18 Å³/atom

---

Which structure is most stable, and how do the rest compare? From most to least stable: <i>, <ii>.

---

<i>
A relaxed structure of Ba2SrCdPd. Source: Alexandria, functional GGA-PBE.

Lattice parameters (Å, degrees): 6.212 6.212 5.500 90.00 90.00 90.00
Fractional positions:
Ba 0.000 0.500 0.000
Ba 0.500 0.000 0.000
Sr 0.000 0.000 0.500
Cd 0.500 0.500 0.500
Pd 0.500 0.500 0.000

Computed properties:
Total magnetic moment ... 0.00 μB/f.u.
Density of states at the Fermi level ... 5.0 states/eV per cell
Volume ... 42.44 Å³/atom

---

<ii>
A relaxed structure of Ba2SrCdPd. Source: Alexandria, functional GGA-PBE.

Lattice parameters (Å, degrees): 6.203 6.203 5.908 90.00 90.00 90.00
Fractional positions:
Ba 0.000 0.500 0.000
Ba 0.500 0.000 0.000
Sr 0.000 0.000 0.500
Cd 0.500 0.500 0.500
Pd 0.000 0.000 0.000

Computed properties:
Total magnetic moment ... 0.00 μB/f.u.
Density of states at the Fermi level ... 3.5 states/eV per cell
Volume ... 45.47 Å³/atom

---

Which structure is most stable, and how do the rest compare? From most to least stable: <ii>, <i>.

---

<i>
A relaxed structure of BaSr2CdPd. Source: Alexandria, functional GGA-PBE.

Lattice parameters (Å, degrees): 5.916 5.916 6.188 90.00 90.00 90.00
Fractional positions:
Ba 0.000 0.000 0.000
Sr 0.000 0.500 0.500
Sr 0.500 0.000 0.500
Cd 0.500 0.500 0.000
Pd 0.000 0.000 0.500

Computed properties:
Total magnetic moment ... 0.00 μB/f.u.
Density of states at the Fermi level ... 3.2 states/eV per cell
Volume ... 43.32 Å³/atom

---

<ii>
A relaxed structure of BaSr2CdPd. Source: Alexandria, functional GGA-PBE.

Lattice parameters (Å, degrees): 5.924 5.924 5.531 90.00 90.00 90.00
Fractional positions:
Ba 0.000 0.000 0.000
Sr 0.000 0.500 0.500
Sr 0.500 0.000 0.500
Cd 0.500 0.500 0.000
Pd 0.500 0.500 0.500

Computed properties:
Total magnetic moment ... 0.00 μB/f.u.
Density of states at the Fermi level ... 4.9 states/eV per cell
Volume ... 38.81 Å³/atom

---

Which structure is most stable, and how do the rest compare? From most to least stable: <i>, <ii>.

---

<i>
A relaxed structure of BaTl2CdPd. Source: Alexandria, functional GGA-PBE.

Lattice parameters (Å, degrees): 5.397 5.397 5.924 90.00 90.00 90.00
Fractional positions:
Ba 0.000 0.000 0.000
Tl 0.000 0.500 0.500
Tl 0.500 0.000 0.500
Cd 0.500 0.500 0.000
Pd 0.000 0.000 0.500

Computed properties:
Total magnetic moment ... 0.00 μB/f.u.
Density of states at the Fermi level ... 4.3 states/eV per cell
Volume ... 34.51 Å³/atom

---

<ii>
A relaxed structure of BaTl2CdPd. Source: Alexandria, functional GGA-PBE.

Lattice parameters (Å, degrees): 5.379 5.379 5.318 90.00 90.00 90.00
Fractional positions:
Ba 0.000 0.000 0.000
Tl 0.000 0.500 0.500
Tl 0.500 0.000 0.500
Cd 0.500 0.500 0.000
Pd 0.500 0.500 0.500

Computed properties:
Total magnetic moment ... 0.00 μB/f.u.
Density of states at the Fermi level ... 3.5 states/eV per cell
Volume ... 30.78 Å³/atom

---

Which structure is most stable, and how do the rest compare? From most to least stable: <ii>, <i>.